# Tb3Tl3InTe8, optimized geometry, DFT PBE
# Final energy (eV per atom): -4.09
# E_form (uncorrected) (eV/f.u.): -12.53
data_Tb3Tl3InTe8
_space_group_name_H-M_alt 'P 1'
_space_group_IT_number 1
_cell_length_a 8.813
_cell_length_b 8.819
_cell_length_c 9.625
_cell_angle_alpha 117.32
_cell_angle_beta 90.00
_cell_angle_gamma 119.98
loop_
_space_group_symop_operation_xyz
'x,y,z'
loop_
_atom_site_label
_atom_site_fract_x
_atom_site_fract_y
_atom_site_fract_z
Te1 0.258 0.023 0.288
Tb1 0.000 0.500 0.500
Te2 0.261 0.522 0.283
Tl1 0.000 0.500 0.000
Te3 0.765 0.023 0.288
Te4 0.235 0.469 0.712
Tb2 0.500 0.500 0.500
In1 0.000 0.000 0.500
Te5 0.742 0.977 0.712
Te6 0.739 0.478 0.717
Tl2 0.000 0.000 0.000
Tl3 0.500 0.500 0.000
Te7 0.235 0.977 0.712
Tb3 0.500 0.000 0.500
Te8 0.765 0.531 0.288



# Ta6PdRu5, optimized geometry, DFT PBE
# Final energy (eV per atom): -10.52
# DFT formation energy (eV/atom): -0.296
data_Ta6PdRu5
_space_group_name_H-M_alt 'P 1'
_space_group_IT_number 1
_cell_length_a 4.251
_cell_length_b 7.109
_cell_length_c 7.627
_cell_angle_alpha 117.78
_cell_angle_beta 106.21
_cell_angle_gamma 90.00
loop_
_space_group_symop_operation_xyz
'x,y,z'
loop_
_atom_site_label
_atom_site_fract_x
_atom_site_fract_y
_atom_site_fract_z
Ta1 0.832 0.576 0.664
Ta2 0.168 0.424 0.336
Ru1 0.674 0.674 0.348
Ta3 0.500 0.262 0.000
Ta4 0.168 0.911 0.336
Ru2 0.657 0.157 0.314
Pd1 0.000 0.000 0.000
Ta5 0.500 0.738 0.000
Ru3 0.343 0.843 0.686
Ru4 0.326 0.326 0.652
Ru5 0.000 0.500 0.000
Ta6 0.832 0.089 0.664